Here is crystalline BiMoP2O at its relaxed geometry from Alexandria. Energies are from PBE with a Hubbard U.

```
data_BiMoP2O
_chemical_formula_sum 'Bi1 Mo1 P2 O1'
_cell_length_a 5.0188
_cell_length_b 5.0188
_cell_length_c 3.8222
_cell_angle_alpha 90.00
_cell_angle_beta 90.00
_cell_angle_gamma 90.00
_space_group_name_H-M_alt 'P 4/m m m'
_space_group_IT_number 123
_space_group_name_Hall '-P 4 2'
loop_
_atom_site_label
_atom_site_fract_x
_atom_site_fract_y
_atom_site_fract_z
_atom_site_occupancy
Bi1 0.0000 0.0000 0.0000 1
Mo1 0.5000 0.5000 0.5000 1
P1 0.0000 0.5000 0.5000 1
O1 0.5000 0.5000 0.0000 1
```

Raw total energy (eV/atom): -5.411
Relative energy among the computed polymorphs (meV per atom): 0